1.
# MnTeSeN2

MnTeSeN2 after structural relaxation (GGA-PBE, Alexandria).

Calculated values
**Crystal system**: tetragonal
**Magnetization**: 0.211 μB per cell
**E_form (uncorrected)**: 1.860 eV/atom

CIF file:
```
data_MnTeSeN2
_chemical_formula_sum 'Mn1 Te1 Se1 N2'
_space_group_name_H-M_alt 'P 4/m m m'
_space_group_IT_number 123
_space_group_name_Hall '-P 4 2'
_cell_length_a 3.715
_cell_length_b 3.715
_cell_length_c 7.195
_cell_angle_alpha 90.00
_cell_angle_beta 90.00
_cell_angle_gamma 90.00
loop_
_atom_site_label
_atom_site_fract_x
_atom_site_fract_y
_atom_site_fract_z
Mn1 0.000 0.000 0.000
Te1 0.500 0.500 0.000
Se1 0.500 0.500 0.500
N1 0.000 0.500 0.500
```

***

2.
# Nb2BiS

Nb2BiS after structural relaxation (GGA-PBE, Alexandria).

Calculated values
**Crystal system**: tetragonal
**Magnetization**: 0.000 μB per cell
**E_form (uncorrected)**: 0.256 eV/atom

CIF file:
```
data_Nb2BiS
_chemical_formula_sum 'Nb8 Bi4 S4'
_space_group_name_H-M_alt 'I -4 2 d'
_space_group_IT_number 122
_space_group_name_Hall 'I -4 2bw'
_cell_length_a 5.023
_cell_length_b 5.023
_cell_length_c 15.592
_cell_angle_alpha 90.00
_cell_angle_beta 90.00
_cell_angle_gamma 90.00
loop_
_atom_site_label
_atom_site_fract_x
_atom_site_fract_y
_atom_site_fract_z
Nb1 0.144 0.250 0.125
Bi1 0.000 0.000 0.500
S1 0.000 0.000 0.000
```

***

3.
# Sc2NbRu

Sc2NbRu after structural relaxation (GGA-PBE, Alexandria).

Calculated values
**Crystal system**: tetragonal
**Magnetization**: 0.000 μB per cell
**Energy of formation from the pure elements**: 1.0 eV per formula unit

CIF file:
```
data_Sc2NbRu
_chemical_formula_sum 'Sc8 Nb4 Ru4'
_space_group_name_H-M_alt 'I -4 2 d'
_space_group_IT_number 122
_space_group_name_Hall 'I -4 2bw'
_cell_length_a 7.504
_cell_length_b 7.504
_cell_length_c 5.620
_cell_angle_alpha 90.00
_cell_angle_beta 90.00
_cell_angle_gamma 90.00
loop_
_atom_site_label
_atom_site_fract_x
_atom_site_fract_y
_atom_site_fract_z
Sc1 0.207 0.250 0.125
Nb1 0.000 0.000 0.500
Ru1 0.000 0.000 0.000
```